Record 1
This record from the Alexandria database describes crystalline SbIr2 at its relaxed geometry. The functional is PBE-GGA.

Geometry as POSCAR:
```
SbIr2
1.0
0.000 3.789 3.789
3.789 0.000 3.789
3.789 3.789 0.000
Sb Ir
2 4
Direct
0.500 0.500 0.500
0.750 0.750 0.750
0.625 0.125 0.125
0.125 0.625 0.125
0.125 0.125 0.625
0.125 0.125 0.125
```

For the uncorrected formation energy, the calculation gives 1.27 eV/f.u. The mass density comes out at 15.5 g/cm³. For the total magnetization, the calculation gives 0.0 μB per cell. The volume comes out at 18.13 Å³/atom.



Record 2
This record from the Alexandria database describes crystalline SbIr2 at its relaxed geometry. The functional is PBE-GGA.

Geometry as POSCAR:
```
SbIr2
1.0
-3.452 -1.446 4.991
5.164 -0.283 3.490
-0.583 6.062 1.353
Sb Ir
4 8
Direct
0.000 0.000 0.000
0.500 0.500 0.000
0.500 0.000 0.500
0.000 0.500 0.500
0.615 0.615 0.385
0.385 0.385 0.615
0.115 0.885 0.615
0.885 0.115 0.385
0.385 0.115 0.115
0.615 0.885 0.885
0.885 0.385 0.885
0.115 0.615 0.115
```

For the uncorrected formation energy, the calculation gives 1.92 eV/f.u. The mass density comes out at 13.8 g/cm³. For the total magnetization, the calculation gives 0.0 μB per cell. The volume comes out at 20.24 Å³/atom.